[1]
This record from Alexandria describes a geometry-optimized CeErTlRh structure. The functional is GGA-PBE.

Lattice parameters (Å, degrees): 7.293 7.293 7.293 90.00 90.00 90.00
Positions (direct):
1 Ce 0.000 0.000 0.000
2 Ce 0.000 0.500 0.500
3 Ce 0.500 0.000 0.500
4 Ce 0.500 0.500 0.000
5 Er 0.000 0.000 0.500
6 Er 0.000 0.500 0.000
7 Er 0.500 0.000 0.000
8 Er 0.500 0.500 0.500
9 Tl 0.250 0.250 0.750
10 Tl 0.250 0.750 0.250
11 Tl 0.750 0.250 0.250
12 Tl 0.750 0.750 0.750
13 Rh 0.250 0.250 0.250
14 Rh 0.250 0.750 0.750
15 Rh 0.750 0.250 0.750
16 Rh 0.750 0.750 0.250

Summary:
space group: No. 216
DFT formation energy: -1.52 eV/f.u.

***

[2]
This record from Alexandria describes a geometry-optimized CeEr2Zn2Rh5 structure. The functional is GGA-PBE.

Lattice parameters (Å, degrees): 9.789 9.789 3.690 90.00 90.00 90.00
Positions (direct):
1 Ce 0.000 0.000 0.000
2 Ce 0.500 0.500 0.000
3 Er 0.169 0.331 0.000
4 Er 0.331 0.831 0.000
5 Er 0.669 0.169 0.000
6 Er 0.831 0.669 0.000
7 Zn 0.125 0.625 0.000
8 Zn 0.375 0.125 0.000
9 Zn 0.625 0.875 0.000
10 Zn 0.875 0.375 0.000
11 Rh 0.000 0.500 0.500
12 Rh 0.073 0.795 0.500
13 Rh 0.205 0.073 0.500
14 Rh 0.295 0.573 0.500
15 Rh 0.427 0.295 0.500
16 Rh 0.500 0.000 0.500
17 Rh 0.573 0.705 0.500
18 Rh 0.705 0.427 0.500
19 Rh 0.795 0.927 0.500
20 Rh 0.927 0.205 0.500

Summary:
space group: No. 127
DFT formation energy: -7.31 eV/f.u.

***

[3]
This record from Alexandria describes a geometry-optimized Ce2Er3Ru2 structure. The functional is GGA-PBE.

Lattice parameters (Å, degrees): 11.784 3.752 8.865 90.00 113.26 90.00
Positions (direct):
1 Ce 0.170 0.000 0.309
2 Ce 0.330 0.500 0.691
3 Ce 0.670 0.500 0.309
4 Ce 0.830 0.000 0.691
5 Er 0.000 0.500 0.500
6 Er 0.117 0.500 0.920
7 Er 0.383 0.000 0.080
8 Er 0.500 0.000 0.500
9 Er 0.617 0.000 0.920
10 Er 0.883 0.500 0.080
11 Ru 0.195 0.000 0.734
12 Ru 0.305 0.500 0.266
13 Ru 0.695 0.500 0.734
14 Ru 0.805 0.000 0.266

Summary:
space group: No. 12
DFT formation energy: -2.33 eV/f.u.

***

[4]
This record from Alexandria describes a geometry-optimized CeEr5Ru3 structure. The functional is GGA-PBE.

Lattice parameters (Å, degrees): 7.509 7.509 9.687 104.97 104.97 73.00
Positions (direct):
1 Ce 0.080 0.080 0.286
2 Ce 0.920 0.920 0.714
3 Er 0.006 0.619 0.351
4 Er 0.237 0.237 0.045
5 Er 0.306 0.694 0.000
6 Er 0.381 0.994 0.649
7 Er 0.467 0.467 0.653
8 Er 0.533 0.533 0.347
9 Er 0.619 0.006 0.351
10 Er 0.694 0.306 0.000
11 Er 0.763 0.763 0.955
12 Er 0.994 0.381 0.649
13 Ru 0.000 0.000 0.000
14 Ru 0.000 0.000 0.500
15 Ru 0.292 0.292 0.375
16 Ru 0.340 0.340 0.833
17 Ru 0.660 0.660 0.167
18 Ru 0.708 0.708 0.625

Summary:
space group: No. 12
DFT formation energy: -2.37 eV/f.u.

***

[5]
This record from Alexandria describes a geometry-optimized Ce2Er2Ru3 structure. The functional is GGA-PBE.

Lattice parameters (Å, degrees): 8.179 4.699 8.530 90.00 108.44 90.00
Positions (direct):
1 Ce 0.120 0.000 0.361
2 Ce 0.380 0.500 0.639
3 Ce 0.620 0.500 0.361
4 Ce 0.880 0.000 0.639
5 Er 0.127 0.500 0.883
6 Er 0.373 0.000 0.117
7 Er 0.627 0.000 0.883
8 Er 0.873 0.500 0.117
9 Ru 0.000 0.500 0.500
10 Ru 0.246 0.000 0.736
11 Ru 0.254 0.500 0.264
12 Ru 0.500 0.000 0.500
13 Ru 0.746 0.500 0.736
14 Ru 0.754 0.000 0.264

Summary:
space group: No. 12
DFT formation energy: -2.52 eV/f.u.

***

[6]
This record from Alexandria describes a geometry-optimized CeEr2Ru4 structure. The functional is GGA-PBE.

Lattice parameters (Å, degrees): 6.595 6.595 6.504 90.00 90.00 90.00
Positions (direct):
1 Ce 0.000 0.000 0.000
2 Ce 0.500 0.500 0.500
3 Er 0.000 0.500 0.000
4 Er 0.000 0.500 0.500
5 Er 0.500 0.000 0.000
6 Er 0.500 0.000 0.500
7 Ru 0.250 0.250 0.250
8 Ru 0.250 0.250 0.750
9 Ru 0.250 0.750 0.250
10 Ru 0.250 0.750 0.750
11 Ru 0.750 0.250 0.250
12 Ru 0.750 0.250 0.750
13 Ru 0.750 0.750 0.250
14 Ru 0.750 0.750 0.750

Summary:
space group: No. 139
DFT formation energy: 1.08 eV/f.u.

***

[7]
This record from Alexandria describes a geometry-optimized Ce4Er3Ru4 structure. The functional is GGA-PBE.

Lattice parameters (Å, degrees): 8.926 8.926 8.926 156.62 115.68 69.43
Positions (direct):
1 Ce 0.034 0.837 0.197
2 Ce 0.361 0.163 0.197
3 Ce 0.639 0.837 0.803
4 Ce 0.966 0.163 0.803
5 Er 0.000 0.500 0.500
6 Er 0.387 0.387 0.000
7 Er 0.613 0.613 0.000
8 Ru 0.211 0.711 0.500
9 Ru 0.292 0.000 0.292
10 Ru 0.708 0.000 0.708
11 Ru 0.789 0.289 0.500

Summary:
space group: No. 71
DFT formation energy: -3.56 eV/f.u.

***

[8]
This record from Alexandria describes a geometry-optimized CeEr4Ru5 structure. The functional is GGA-PBE.

Lattice parameters (Å, degrees): 3.392 3.392 16.886 90.00 90.00 90.00
Positions (direct):
1 Ce 0.000 0.000 0.000
2 Er 0.000 0.000 0.204
3 Er 0.000 0.000 0.401
4 Er 0.000 0.000 0.599
5 Er 0.000 0.000 0.796
6 Ru 0.500 0.500 0.093
7 Ru 0.500 0.500 0.299
8 Ru 0.500 0.500 0.500
9 Ru 0.500 0.500 0.701
10 Ru 0.500 0.500 0.907

Summary:
space group: No. 123
DFT formation energy: -4.11 eV/f.u.

***

[9]
This record from Alexandria describes a geometry-optimized Ce3ErRu8 structure. The functional is GGA-PBE.

Lattice parameters (Å, degrees): 5.340 5.340 9.267 106.58 106.58 60.21
Positions (direct):
1 Ce 0.000 0.000 0.000
2 Ce 0.503 0.503 0.507
3 Ce 0.876 0.876 0.626
4 Er 0.377 0.377 0.131
5 Ru 0.189 0.189 0.567
6 Ru 0.435 0.939 0.313
7 Ru 0.439 0.439 0.819
8 Ru 0.439 0.942 0.819
9 Ru 0.689 0.689 0.068
10 Ru 0.939 0.435 0.313
11 Ru 0.939 0.939 0.313
12 Ru 0.942 0.439 0.819

Summary:
space group: No. 8
DFT formation energy: -3.45 eV/f.u.

***

[10]
This record from Alexandria describes a geometry-optimized CeEr4Ru2 structure. The functional is GGA-PBE.

Lattice parameters (Å, degrees): 7.622 6.358 8.176 90.00 114.51 90.00
Positions (direct):
1 Ce 0.036 0.250 0.182
2 Ce 0.964 0.750 0.818
3 Er 0.247 0.504 0.590
4 Er 0.247 0.996 0.590
5 Er 0.322 0.750 0.254
6 Er 0.379 0.250 0.010
7 Er 0.621 0.750 0.990
8 Er 0.678 0.250 0.746
9 Er 0.753 0.004 0.410
10 Er 0.753 0.496 0.410
11 Ru 0.017 0.250 0.721
12 Ru 0.384 0.250 0.353
13 Ru 0.616 0.750 0.647
14 Ru 0.983 0.750 0.279

Summary:
space group: No. 11
DFT formation energy: -1.80 eV/f.u.

***

[11]
This record from Alexandria describes a geometry-optimized Ce2Er5Ru4 structure. The functional is GGA-PBE.

Lattice parameters (Å, degrees): 8.032 8.032 11.207 104.89 104.89 24.04
Positions (direct):
1 Ce 0.111 0.111 0.031
2 Ce 0.889 0.889 0.969
3 Er 0.145 0.145 0.350
4 Er 0.169 0.169 0.742
5 Er 0.500 0.500 0.500
6 Er 0.831 0.831 0.258
7 Er 0.855 0.855 0.650
8 Ru 0.020 0.020 0.836
9 Ru 0.320 0.320 0.448
10 Ru 0.680 0.680 0.552
11 Ru 0.980 0.980 0.164

Summary:
space group: No. 12
DFT formation energy: -0.78 eV/f.u.

***

[12]
This record from Alexandria describes a geometry-optimized Ce5ErRu5 structure. The functional is GGA-PBE.

Lattice parameters (Å, degrees): 6.512 6.512 8.708 109.50 109.50 49.05
Positions (direct):
1 Ce 0.000 0.000 0.000
2 Ce 0.326 0.326 0.168
3 Ce 0.332 0.332 0.656
4 Ce 0.668 0.668 0.344
5 Ce 0.674 0.674 0.832
6 Er 0.000 0.000 0.500
7 Ru 0.138 0.138 0.305
8 Ru 0.141 0.141 0.840
9 Ru 0.500 0.500 0.500
10 Ru 0.859 0.859 0.160
11 Ru 0.862 0.862 0.695

Summary:
space group: No. 12
DFT formation energy: -2.53 eV/f.u.

***

- DFT formation energy of number 3 (Ce2Er3Ru2)?
  -2.33 eV/f.u.

***

- Among the records above, which one has the highest DFT formation energy?
  CeEr2Ru4

***

- DFT formation energy of number 5 (Ce2Er2Ru3)?
  -2.52 eV/f.u.

***

- What is the DFT formation energy in the second record?
  -7.31 eV/f.u.